Entry 1:
Density functional theory data (PBE-GGA) for an optimized crystal structure of HfCdAs2F.

## Properties
formation energy from raw total energies	0.06	eV/atom
space-group type	P4/mmm, No. 123

abc: 5.051 5.051 5.907
angles: 90.00 90.00 90.00
Atoms (fractional coordinates):
1 Hf 0.000 0.000 0.000
2 Cd 0.000 0.000 0.500
3 As 0.000 0.500 0.000
4 As 0.500 0.000 0.000
5 F 0.500 0.500 0.500

=====

Entry 2:
Density functional theory data (PBE-GGA) for an optimized crystal structure of KCuNi2.

## Properties
polymorph energy (0 for the lowest one)	553.8	meV per atom
space-group type	Pmmm, No. 47
formation enthalpy at 0 K	0.851	eV per atom

abc: 2.643 4.845 4.867
angles: 90.00 90.00 90.00
Atoms (fractional coordinates):
1 K 0.000 0.000 0.000
2 Cu 0.500 0.000 0.500
3 Ni 0.000 0.500 0.500
4 Ni 0.500 0.500 0.000